1.
Fe3SbMo PBE relaxed; space group = Pm-3m (221); formation energy (no corrections) = 1.75 eV per atom; energy relative to the lowest polymorph listed for this composition = 2.078 eV per formula unit
1.0
4.585 0.000 0.000
0.000 4.585 0.000
0.000 0.000 4.585
Fe Sb Mo
3 1 1
direct
0.000 0.000 0.500
0.000 0.500 0.000
0.500 0.000 0.000
0.000 0.000 0.000
0.500 0.500 0.500

=====

2.
FeSbMo PBE relaxed; space group = I4mm (107); formation energy (no corrections) = 0.32 eV per atom
1.0
-1.662 1.662 4.431
1.662 -1.662 4.431
1.662 1.662 -4.431
Fe Sb Mo
1 1 1
direct
0.000 0.000 0.000
0.668 0.668 0.000
0.347 0.347 0.000

=====

3.
FeSb2Mo PBE relaxed; space group = F-43m (216); formation energy (no corrections) = 0.72 eV per atom; energy relative to the lowest polymorph listed for this composition = 2.328 eV per formula unit
1.0
0.000 3.370 3.370
3.370 0.000 3.370
3.370 3.370 0.000
Fe Sb Mo
1 2 1
direct
0.000 0.000 0.000
0.250 0.250 0.250
0.500 0.500 0.500
0.750 0.750 0.750

=====

4.
FeSbMo2 PBE relaxed; space group = P4mm (99); formation energy (no corrections) = 0.23 eV per atom
1.0
3.337 0.000 0.000
0.000 3.337 0.000
0.000 0.000 5.830
Fe Sb Mo
1 1 2
direct
0.000 0.000 0.000
0.500 0.500 0.751
0.000 0.000 0.470
0.500 0.500 0.232

=====

5.
FeSb2Mo PBE relaxed; space group = R-3m (166); formation energy (no corrections) = 0.37 eV per atom; energy relative to the lowest polymorph listed for this composition = 0.904 eV per formula unit
1.0
1.636 0.944 8.092
-1.636 0.944 8.092
0.000 -1.889 8.092
Fe Sb Mo
1 2 1
direct
0.000 0.000 0.000
0.252 0.252 0.252
0.748 0.748 0.748
0.500 0.500 0.500

=====

6.
FeSb2Mo PBE relaxed; space group = R3m (160); formation energy (no corrections) = 0.36 eV per atom; energy relative to the lowest polymorph listed for this composition = 0.874 eV per formula unit
1.0
1.553 0.897 10.559
-1.553 0.897 10.559
0.000 -1.793 10.559
Fe Sb Mo
1 2 1
direct
0.000 0.000 0.000
0.267 0.267 0.267
0.464 0.464 0.464
0.726 0.726 0.726

=====

7.
FeSbMo4 PBE relaxed; space group = F-43m (216); formation energy (no corrections) = 0.54 eV per atom
1.0
0.000 3.726 3.726
3.726 0.000 3.726
3.726 3.726 0.000
Fe Sb Mo
1 1 4
direct
0.000 0.000 0.000
0.250 0.250 0.250
0.122 0.626 0.626
0.626 0.122 0.626
0.626 0.626 0.122
0.626 0.626 0.626

=====

8.
FeSb2Mo PBE relaxed; space group = I-42d (122); formation energy (no corrections) = 0.95 eV per atom; energy relative to the lowest polymorph listed for this composition = 3.210 eV per formula unit
1.0
-3.087 3.087 5.415
3.087 -3.087 5.415
3.087 3.087 -5.415
Fe Sb Mo
2 4 2
direct
0.000 0.000 0.000
0.750 0.250 0.500
0.094 0.625 0.969
0.375 0.344 0.469
0.656 0.125 0.031
0.875 0.906 0.531
0.250 0.750 0.500
0.500 0.500 0.000

=====

9.
FeSbMo2 PBE relaxed; space group = Immm (71); formation energy (no corrections) = 0.21 eV per atom
1.0
-1.869 1.911 4.337
1.869 -1.911 4.337
1.869 1.911 -4.337
Fe Sb Mo
1 1 2
direct
0.000 0.000 0.000
0.500 0.500 0.000
0.249 0.749 0.500
0.751 0.251 0.500

=====

10.
FeSbMo2 PBE relaxed; space group = P4/mmm (123); formation energy (no corrections) = 0.34 eV per atom
1.0
3.304 0.000 0.000
0.000 3.304 0.000
0.000 0.000 5.923
Fe Sb Mo
1 1 2
direct
0.000 0.000 0.000
0.000 0.000 0.500
0.500 0.500 0.228
0.500 0.500 0.772

=====

11.
Fe2SbMo PBE relaxed; space group = I-42d (122); formation energy (no corrections) = 1.06 eV per atom
1.0
-2.693 2.693 5.625
2.693 -2.693 5.625
2.693 2.693 -5.625
Fe Sb Mo
4 2 2
direct
0.095 0.625 0.970
0.375 0.345 0.470
0.655 0.125 0.030
0.875 0.905 0.530
0.250 0.750 0.500
0.500 0.500 0.000
0.000 0.000 0.000
0.750 0.250 0.500

=====

12.
Fe2SbMo PBE relaxed; space group = R3m (160); formation energy (no corrections) = 0.48 eV per atom
1.0
1.511 0.872 8.015
-1.511 0.872 8.015
0.000 -1.744 8.015
Fe Sb Mo
2 1 1
direct
0.000 0.000 0.000
0.260 0.260 0.260
0.507 0.507 0.507
0.745 0.745 0.745